# TiFeAs2F (GGA+U, relaxed)
data_TiFeAs2F
_chemical_formula_sum 'Ti1 Fe1 As2 F1'
_cell_length_a 4.9059
_cell_length_b 3.8217
_cell_length_c 4.9059
_cell_angle_alpha 90.00
_cell_angle_beta 90.00
_cell_angle_gamma 90.00
_symmetry_space_group_name_H-M 'P 1'
_symmetry_Int_Tables_number 1
_symmetry_space_group_name_Hall 'P 1'
loop_
_atom_site_label
_atom_site_type_symbol
_atom_site_fract_x
_atom_site_fract_y
_atom_site_fract_z
As1 As 0.0000 0.0000 0.5000
As2 As 0.5000 0.0000 0.0000
F1 F 0.0000 0.0000 0.0000
Fe1 Fe 0.5000 0.5000 0.5000
Ti1 Ti 0.0000 0.5000 0.0000
# D(E_F)	0.7587	states/eV/atom
# polymorph energy (0 for the lowest one)	2.18	kJ per mole of atoms